Cu2Hg3Pd8 | PBE | relaxed

abc: 5.238 5.238 10.233
angles: 75.17 75.17 60.00
Positions (direct):
Cu: 0.640 0.640 0.079
Cu: 0.360 0.360 0.921
Hg: 0.000 0.000 0.000
Hg: 0.818 0.818 0.546
Hg: 0.182 0.182 0.454
Pd: 0.724 0.724 0.828
Pd: 0.276 0.276 0.172
Pd: 0.235 0.737 0.291
Pd: 0.737 0.235 0.291
Pd: 0.737 0.737 0.291
Pd: 0.263 0.765 0.709
Pd: 0.765 0.263 0.709
Pd: 0.263 0.263 0.709

As for the total magnetic moment: 0.0000 μB/atom. As for the formation energy: 0.1336 eV per atom. Its density of states at the Fermi level is 0.4296 states/eV per atom. Its energy is -48.90 eV per formula unit. The calculated volume comes out at 17.87 Å³/atom. Its space group is R-3m, No. 166.